Entry 1:
Tm8MgSc4: relaxed, PBE.

Output
Total energy in eV/cell: -59.7
Density of states at the Fermi level in states/eV/cell: 18.6
ΔE_f in meV per atom: 229

```
Tm8MgSc4
1.0
-4.9593 1.0024 -4.5376
-0.1198 -5.4871 4.0083
-1.5853 5.9839 8.1442
Tm Mg Sc
8 1 4
Direct
0.5802 0.7901 0.3702 Tm
0.4198 0.2099 0.6298 Tm
0.5049 0.2525 0.2729 Tm
0.9795 0.2320 0.7271 Tm
0.4951 0.7475 0.7271 Tm
0.9795 0.7475 0.7271 Tm
0.0205 0.2525 0.2729 Tm
0.0205 0.7680 0.2729 Tm
0.0000 0.5000 0.5000 Mg
0.0000 0.0000 0.0000 Sc
0.0000 0.5000 0.0000 Sc
0.5000 0.5000 0.0000 Sc
0.5000 0.0000 0.0000 Sc
```

---

Entry 2:
Tm2MgSc: relaxed, PBE.

Output
Energy above the most stable polymorph in this dataset in eV/f.u.: 0.201
Total energy in eV/cell: -16.7
Density of states at the Fermi level in states/eV/cell: 5.7
ΔE_f in meV per atom: 36

```
Tm2MgSc
1.0
-0.3994 -1.2247 3.6969
3.9911 -3.3344 -0.6734
3.3594 3.7002 1.5887
Sc Mg Tm
1 1 2
Direct
0.5000 0.0000 0.0000 Sc
0.5000 0.5000 0.5000 Mg
0.0000 0.0000 0.5000 Tm
0.0000 0.5000 0.0000 Tm
```

---

Entry 3:
TmMg4Sc2: relaxed, PBE.

Output
Energy above the most stable polymorph in this dataset in eV/f.u.: 1.958
Total energy in eV/cell: -20.6
Density of states at the Fermi level in states/eV/cell: 6.2
ΔE_f in meV per atom: 413

```
TmMg4Sc2
1.0
5.4723 0.0000 0.0000
0.0000 5.6838 0.0000
0.0000 -2.8419 5.9684
Tm Mg Sc
1 4 2
Direct
0.0000 0.5000 0.0000 Tm
0.5000 0.6267 0.2534 Mg
0.0000 0.7776 0.5553 Mg
0.5000 0.3733 0.7466 Mg
0.0000 0.2224 0.4447 Mg
0.5000 0.1238 0.2477 Sc
0.5000 0.8762 0.7523 Sc
```

---

Entry 4:
Tm2MgSc: relaxed, PBE.

Output
Energy above the most stable polymorph in this dataset in eV/f.u.: 0.247
Total energy in eV/cell: -16.7
Density of states at the Fermi level in states/eV/cell: 4.9
ΔE_f in meV per atom: 47

```
Tm2MgSc
1.0
3.3665 -0.0004 0.0001
1.6829 2.9157 0.0001
1.6834 0.9719 11.1343
Tm Mg Sc
2 1 1
Direct
0.0807 0.0807 0.7578 Tm
0.2527 0.2527 0.2421 Tm
0.4999 0.4999 0.5002 Mg
0.6667 0.6667 0.9999 Sc
```